# 1
Here is crystalline Ag2SbHI at its relaxed geometry from Alexandria via LeMat-Bulk. Energies are from GGA-PBEsol.

a b c (Å): 4.209 4.859 4.859
angles (deg): 90.00 90.00 90.00
Sites, in units of the cell vectors:
Ag1 0.000 0.000 0.500
Ag2 0.000 0.500 0.000
I1 0.500 0.500 0.500
Sb1 0.500 0.000 0.000
H1 0.000 0.000 0.000

**Final energy**: -2.731 eV per atom
**Total magnetization**: 0.00 μB/cell

***

# 2
Here is crystalline YInAg2H at its relaxed geometry from Alexandria via LeMat-Bulk. Energies are from GGA-PBEsol.

a b c (Å): 3.644 5.271 5.271
angles (deg): 90.00 90.00 90.00
Sites, in units of the cell vectors:
Y1 0.500 0.500 0.500
In1 0.000 0.000 0.000
Ag1 0.000 0.500 0.000
Ag2 0.000 0.000 0.500
H1 0.500 0.000 0.000

**Final energy**: -3.737 eV per atom
**Total magnetization**: 0.00 μB/cell

***

# 3
Here is crystalline AgHIr2Rh at its relaxed geometry from Alexandria via LeMat-Bulk. Energies are from GGA-PBEsol.

a b c (Å): 3.908 3.908 3.953
angles (deg): 90.00 90.00 90.00
Sites, in units of the cell vectors:
Ir1 0.000 0.500 0.000
Ir2 0.500 0.000 0.000
Ag1 0.500 0.500 0.500
H1 0.000 0.000 0.000
Rh1 0.000 0.000 0.500

**Final energy**: -6.545 eV per atom
**Total magnetization**: 0.00 μB/cell

***

# 4
Here is crystalline KLaAgH2 at its relaxed geometry from Alexandria via LeMat-Bulk. Energies are from GGA-PBEsol.

a b c (Å): 4.631 4.631 5.941
angles (deg): 90.00 90.00 90.00
Sites, in units of the cell vectors:
H1 0.500 0.000 0.000
H2 0.000 0.500 0.000
Ag1 0.000 0.000 0.500
K1 0.500 0.500 0.500
La1 0.000 0.000 0.000

**Final energy**: -3.228 eV per atom
**Total magnetization**: 0.00 μB/cell

***

# 5
Here is crystalline La2AgH2 at its relaxed geometry from Alexandria via LeMat-Bulk. Energies are from GGA-PBEsol.

a b c (Å): 3.816 3.816 7.117
angles (deg): 105.55 105.55 90.00
Sites, in units of the cell vectors:
Ag1 0.000 0.000 0.000
La1 0.356 0.356 0.711
La2 0.644 0.644 0.289
H1 0.250 0.750 0.500
H2 0.750 0.250 0.500

**Excess energy over the best structure of this formula in the dataset**: 0.0 meV per atom
**Total magnetization**: 0.00 μB/cell

***

# 6
Here is crystalline LaAg2H at its relaxed geometry from Alexandria via LeMat-Bulk. Energies are from GGA-PBEsol.

a b c (Å): 4.881 4.881 4.881
angles (deg): 60.00 60.00 60.00
Sites, in units of the cell vectors:
La1 0.500 0.500 0.500
Ag1 0.250 0.250 0.250
Ag2 0.750 0.750 0.750
H1 0.000 0.000 0.000

**Final energy**: -3.435 eV per atom
**Total magnetization**: 0.00 μB/cell

***

# 7
Here is crystalline La2AgH2 at its relaxed geometry from Alexandria via LeMat-Bulk. Energies are from GGA-PBEsol.

a b c (Å): 3.296 7.248 7.248
angles (deg): 90.00 90.00 90.00
Sites, in units of the cell vectors:
La1 0.500 0.831 0.331
La2 0.500 0.169 0.669
La3 0.500 0.669 0.831
La4 0.500 0.331 0.169
Ag1 0.000 0.500 0.500
Ag2 0.000 0.000 0.000
H1 0.000 0.382 0.882
H2 0.000 0.118 0.382
H3 0.000 0.882 0.618
H4 0.000 0.618 0.118

**Excess energy over the best structure of this formula in the dataset**: 216.7 meV per atom
**Total magnetization**: 0.00 μB/cell

***

# 8
Here is crystalline LaRe2AgH at its relaxed geometry from Alexandria via LeMat-Bulk. Energies are from GGA-PBEsol.

a b c (Å): 3.429 4.927 4.927
angles (deg): 90.00 90.00 90.00
Sites, in units of the cell vectors:
Re1 0.000 0.500 0.000
Re2 0.000 0.000 0.500
La1 0.000 0.000 0.000
Ag1 0.500 0.500 0.500
H1 0.500 0.000 0.000

**Final energy**: -5.671 eV per atom
**Total magnetization**: 0.00 μB/cell

***

# 9
Here is crystalline Li3AgH at its relaxed geometry from Alexandria via LeMat-Bulk. Energies are from GGA-PBEsol.

a b c (Å): 3.975 3.975 3.975
angles (deg): 90.00 90.00 90.00
Sites, in units of the cell vectors:
Li1 0.500 0.000 0.000
Li2 0.000 0.500 0.000
Li3 0.000 0.000 0.500
Ag1 0.500 0.500 0.500
H1 0.000 0.000 0.000

**Final energy**: -2.707 eV per atom
**Total magnetization**: 0.00 μB/cell

***

# 10
Here is crystalline LiAg2H2 at its relaxed geometry from Alexandria via LeMat-Bulk. Energies are from GGA-PBEsol.

a b c (Å): 3.676 5.600 5.600
angles (deg): 90.00 90.00 90.00
Sites, in units of the cell vectors:
H1 0.000 0.313 0.813
H2 0.000 0.687 0.187
H3 0.000 0.813 0.687
H4 0.000 0.187 0.313
Li1 0.000 0.500 0.500
Li2 0.000 0.000 0.000
Ag1 0.500 0.681 0.181
Ag2 0.500 0.181 0.319
Ag3 0.500 0.319 0.819
Ag4 0.500 0.819 0.681

**Final energy**: -3.015 eV per atom
**Total magnetization**: 0.00 μB/cell

***

# 11
Here is crystalline LiNb2AgH at its relaxed geometry from Alexandria via LeMat-Bulk. Energies are from GGA-PBEsol.

a b c (Å): 2.990 5.335 5.335
angles (deg): 90.00 90.00 90.00
Sites, in units of the cell vectors:
Li1 0.500 0.500 0.500
Nb1 0.000 0.500 0.000
Nb2 0.000 0.000 0.500
Ag1 0.000 0.000 0.000
H1 0.500 0.000 0.000

**Final energy**: -4.718 eV per atom
**Total magnetization**: 0.01 μB/cell

***

# 12
Here is crystalline Mg2AgH2 at its relaxed geometry from Alexandria via LeMat-Bulk. Energies are from GGA-PBEsol.

a b c (Å): 2.783 7.039 7.039
angles (deg): 90.00 90.00 90.00
Sites, in units of the cell vectors:
H1 0.500 0.893 0.393
H2 0.500 0.607 0.893
H3 0.500 0.107 0.607
H4 0.500 0.393 0.107
Mg1 0.000 0.641 0.141
Mg2 0.000 0.359 0.859
Mg3 0.000 0.141 0.359
Mg4 0.000 0.859 0.641
Ag1 0.000 0.000 0.000
Ag2 0.000 0.500 0.500

**Final energy**: -2.319 eV per atom
**Total magnetization**: 0.00 μB/cell